No. 1
Computed, not measured: a relaxed SmZnInPt3 crystal at the GGA-PBE level of DFT.

The structure in POSCAR format:
```
SmZnInPt3
1.0
2.836 -8.618 0.000
2.836 8.618 0.000
0.000 0.000 5.590
Sm Zn In Pt
2 2 2 6
Direct
0.210 0.790 0.750 Sm
0.790 0.210 0.250 Sm
0.099 0.901 0.250 Zn
0.901 0.099 0.750 Zn
0.398 0.602 0.250 In
0.602 0.398 0.750 In
0.240 0.240 0.000 Pt
0.240 0.240 0.500 Pt
0.244 0.756 0.250 Pt
0.756 0.244 0.750 Pt
0.760 0.760 0.000 Pt
0.760 0.760 0.500 Pt
```

Calculated values
- Energy relative to the elements: -0.51 eV/atom
- Final energy: -4.99 eV per atom
- Calculated volume: 273.3 Å³/cell
- Magnetic moment: 0.00 μB/cell

No. 2
Computed, not measured: a relaxed Sm2Zn3InPt4 crystal at the GGA-PBE level of DFT.

The structure in POSCAR format:
```
Sm2Zn3InPt4
1.0
4.184 0.000 0.000
0.000 4.184 0.000
0.000 0.000 11.240
Sm Zn In Pt
2 3 1 4
Direct
0.000 0.500 0.234 Sm
0.500 0.000 0.766 Sm
0.000 0.500 0.872 Zn
0.500 0.000 0.128 Zn
0.500 0.500 0.500 Zn
0.000 0.000 0.500 In
0.000 0.000 0.000 Pt
0.000 0.500 0.652 Pt
0.500 0.000 0.348 Pt
0.500 0.500 0.000 Pt
```

Calculated values
- Energy relative to the elements: -0.75 eV/atom
- Final energy: -4.77 eV per atom
- Calculated volume: 196.8 Å³/cell
- Magnetic moment: 0.00 μB/cell

No. 3
Computed, not measured: a relaxed SmZnInPt crystal at the GGA-PBE level of DFT.

The structure in POSCAR format:
```
SmZnInPt
1.0
0.000 3.448 3.448
3.448 0.000 3.448
3.448 3.448 0.000
Sm Zn In Pt
1 1 1 1
Direct
0.000 0.000 0.000 Sm
0.750 0.750 0.750 Zn
0.500 0.500 0.500 In
0.250 0.250 0.250 Pt
```

Calculated values
- Energy relative to the elements: -0.65 eV/atom
- Final energy: -4.34 eV per atom
- Calculated volume: 81.9 Å³/cell
- Magnetic moment: 0.00 μB/cell

No. 4
Computed, not measured: a relaxed InSn3Pt3 crystal at the GGA-PBE level of DFT.

The structure in POSCAR format:
```
InSn3Pt3
1.0
4.047 2.336 5.473
-4.047 2.336 5.473
0.000 -4.673 5.473
In Sn Pt
2 6 6
Direct
0.164 0.164 0.164 In
0.836 0.836 0.836 In
0.120 0.684 0.388 Sn
0.316 0.612 0.880 Sn
0.388 0.120 0.684 Sn
0.612 0.880 0.316 Sn
0.684 0.388 0.120 Sn
0.880 0.316 0.612 Sn
0.062 0.442 0.798 Pt
0.202 0.938 0.558 Pt
0.442 0.798 0.062 Pt
0.558 0.202 0.938 Pt
0.798 0.062 0.442 Pt
0.938 0.558 0.202 Pt
```

Calculated values
- Energy relative to the elements: -0.42 eV/atom
- Final energy: -5.12 eV per atom
- Calculated volume: 310.5 Å³/cell
- Magnetic moment: 0.00 μB/cell